(1)
## Tb6Dy12Mg (PBE-GGA)

Data for Tb6Dy12Mg after structural relaxation.

Properties
**V**: 617.6 Å³/f.u.
**ΔE_f**: 253 kJ/mol of formula units
**Symmetry**: R-3m (166)
**Total moment**: 0.00 μB/f.u.
**Polymorph energy (0 for the lowest one)**: 5 meV/atom
**E_tot**: -4.31 eV per atom

```
Tb6Dy12Mg
1.0
8.464 0.408 -1.416
-1.737 8.294 -1.416
0.316 0.408 8.576
Tb Dy Mg
6 12 1
Cartesian
1.037 1.349 3.115
6.558 5.616 5.354
3.781 7.767 5.347
6.006 7.761 2.628
0.485 3.495 0.389
3.262 1.344 0.396
4.868 1.866 3.970
0.580 5.181 3.970
4.005 5.181 -0.231
2.175 7.245 1.774
6.463 3.930 1.773
3.038 3.929 5.974
2.448 0.411 5.959
1.250 6.638 7.157
8.240 2.882 4.544
4.595 8.700 -0.216
5.793 2.473 -1.413
-1.197 6.229 1.199
0.000 0.000 0.000
```



(2)
## LuThTlZn (PBE-GGA)

Data for LuThTlZn after structural relaxation.

Properties
**V**: 103.1 Å³/f.u.
**ΔE_f**: -68 kJ/mol of formula units
**Symmetry**: F-43m (216)
**Total moment**: 0.00 μB/f.u.
**E_tot**: -4.07 eV per atom

```
LuThTlZn
1.0
5.263 0.000 0.000
2.632 4.558 0.000
2.632 1.519 4.297
Tl Lu Zn Th
1 1 1 1
Cartesian
5.263 3.039 2.149
2.632 1.519 1.074
0.000 0.000 0.000
7.895 4.558 3.223
```



(3)
## Sc4Al3Re (PBE-GGA)

Data for Sc4Al3Re after structural relaxation.

Properties
**V**: 149.5 Å³/f.u.
**ΔE_f**: -330 kJ/mol of formula units
**Symmetry**: I4/mmm (139)
**Total moment**: 0.00 μB/f.u.
**E_tot**: -6.55 eV per atom

```
Sc4Al3Re
1.0
-3.694 1.205 -2.679
-2.938 -1.528 3.363
3.305 6.276 2.424
Sc Re Al
4 1 3
Cartesian
-0.009 4.648 2.103
-3.319 1.305 1.005
-0.003 1.466 0.663
-3.325 4.487 2.445
-1.847 0.603 -1.340
-1.469 -0.764 1.682
-1.853 3.596 0.015
-1.475 2.357 3.093
```



(4)
## TlRe2Ag (PBE-GGA)

Data for TlRe2Ag after structural relaxation.

Properties
**V**: 72.9 Å³/f.u.
**ΔE_f**: 247 kJ/mol of formula units
**Symmetry**: Cmm2 (35)
**Total moment**: 0.00 μB/f.u.
**Polymorph energy (0 for the lowest one)**: 177 meV/atom
**E_tot**: -6.89 eV per atom

```
TlRe2Ag
1.0
2.843 -0.005 0.000
-1.262 2.548 0.000
0.000 0.000 10.071
Re Tl Ag
2 1 1
Cartesian
0.000 0.000 0.158
0.791 1.272 2.247
0.000 0.000 4.959
0.791 1.272 7.743
```



(5)
## AgSn (PBE-GGA)

Data for AgSn after structural relaxation.

Properties
**V**: 45.2 Å³/f.u.
**ΔE_f**: 8 kJ/mol of formula units
**Symmetry**: P2_1/m (11)
**Total moment**: 0.00 μB/f.u.
**E_tot**: -3.38 eV per atom

```
AgSn
1.0
-0.295 -3.340 0.475
-0.496 -0.609 -4.592
5.840 -0.377 0.975
Sn Ag
2 2
Cartesian
1.377 -1.390 -2.886
3.673 -2.935 -0.256
4.309 -1.641 -2.833
0.741 -2.684 -0.310
```



(6)
## LiAc2Cd2Pd5 (PBE-GGA)

Data for LiAc2Cd2Pd5 after structural relaxation.

Properties
**V**: 216.0 Å³/f.u.
**ΔE_f**: -401 kJ/mol of formula units
**Symmetry**: P4/mbm (127)
**Total moment**: 0.00 μB/f.u.
**E_tot**: -4.21 eV per atom

```
LiAc2Cd2Pd5
1.0
-2.950 -0.451 -2.304
6.630 -0.516 -8.387
0.687 -10.614 1.197
Li Ac Cd Pd
2 4 4 10
Cartesian
0.000 0.000 0.000
3.659 -5.565 -3.595
4.592 -2.200 -5.448
2.725 -8.930 -1.742
1.381 -3.545 -1.074
5.937 -7.586 -6.116
1.267 -6.712 -0.310
6.050 -4.418 -6.881
4.752 -9.598 -4.207
2.565 -1.533 -2.984
-0.178 -0.884 -2.683
4.546 -10.698 -6.811
-0.569 -8.849 -0.626
3.408 -5.329 -6.405
4.936 -2.732 -8.869
0.960 -6.253 -3.090
2.664 -7.836 -4.962
1.703 -3.746 -4.532
1.840 -0.484 -5.345
-1.131 -5.532 -0.554
```